# 1
Density functional theory data (PBE) for a relaxed Ba2Cd3Hg5 crystal.

The value obtained for the volume is 299.2 Å³/f.u. The electronic total energy comes out at -1.12 eV/atom. As for the density of states at the Fermi level: 0.692 states/eV/atom. The value obtained for the size of the total moment is 0.0 μB/f.u. Its formation energy is -0.31 eV per atom. The calculation puts the distance to the lowest polymorph of the same formula at 23.5 meV per atom.

a = 4.983 Å, b = 4.983 Å, c = 12.051 Å
α = 90.00°, β = 90.00°, γ = 90.00°
Space group P-4m2 (No. 115)
Inequivalent atoms, fractional coordinates:
Ba  0.000  0.500  0.248 x2
Cd  0.000  0.500  0.625 x2
Cd  0.500  0.500  0.500 x1
Hg  0.000  0.000  0.000 x1
Hg  0.000  0.000  0.500 x1
Hg  0.000  0.500  0.859 x2
Hg  0.500  0.500  0.000 x1

# 2
Density functional theory data (PBE) for a relaxed Rb2PrInCl6 crystal.

The value obtained for the volume is 361.7 Å³/f.u. The electronic total energy comes out at -3.94 eV/atom. As for the density of states at the Fermi level: 0.000 states/eV/atom. The value obtained for the uncorrected formation energy is -1889 meV per atom. The value obtained for the size of the total moment is 0.0 μB/f.u.

a = 7.809 Å, b = 8.269 Å, c = 13.529 Å
α = 90.00°, β = 124.10°, γ = 90.00°
Space group P2_1/c (No. 14)
Inequivalent atoms, fractional coordinates:
Rb  0.220  0.070  0.246 x4
Pr  0.500  0.000  0.000 x2
In  0.000  0.000  0.500 x2
Cl  0.160  0.183  0.946 x4
Cl  0.257  0.723  0.932 x4
Cl  0.387  0.049  0.768 x4

# 3
Density functional theory data (PBE) for a relaxed TbTiOs4 crystal.

The value obtained for the volume is 102.6 Å³/f.u. The electronic total energy comes out at -9.71 eV/atom. As for the density of states at the Fermi level: 1.007 states/eV/atom. The value obtained for the size of the total moment is 0.0 μB/f.u. Its formation energy is -0.14 eV per atom.

a = 7.431 Å, b = 7.431 Å, c = 7.431 Å
α = 90.00°, β = 90.00°, γ = 90.00°
Space group F-43m (No. 216)
Inequivalent atoms, fractional coordinates:
Tb  0.000  0.000  0.000 x4
Ti  0.250  0.250  0.750 x4
Os  0.125  0.125  0.375 x16